DFT (PBE+U) results for an optimized crystal structure of AcNd2MoO8.

Computed properties:
As for the space-group type: Cmmm (65). The volume is 16.5 Å³ per atom. The total energy comes out at -7.602 eV per atom. As for the total moment: 0.8 μB/cell. The value obtained for the density of states at the Fermi level is 0.4634 states/eV per atom.

The structure in POSCAR format:
```
AcNd2MoO8
1.0
5.213 -0.025 -0.003
0.005 5.212 -0.005
0.005 0.008 7.267
Ac Nd Mo O
1 2 1 8
direct
0.000 0.000 0.500
0.500 0.500 0.762
0.500 0.500 0.238
0.000 0.000 0.000
0.180 0.819 0.197
0.733 0.734 0.000
0.820 0.180 0.197
0.820 0.181 0.803
0.267 0.266 0.000
0.180 0.820 0.803
0.680 0.681 0.500
0.320 0.319 0.500
```